Material: Y2TaAs
Method: DFT, PBE
State: optimized geometry

Geometry as CIF:
```
data_Y2TaAs
_chemical_formula_sum 'Y6 Ta3 As3'
_symmetry_space_group_name_H-M 'R -3 m'
_symmetry_Int_Tables_number 166
_symmetry_space_group_name_Hall '-R 3 2"'
_cell_length_a 3.6426
_cell_length_b 3.6426
_cell_length_c 25.9010
_cell_angle_alpha 90.00
_cell_angle_beta 90.00
_cell_angle_gamma 120.00
loop_
_atom_site_label
_atom_site_type_symbol
_atom_site_fract_x
_atom_site_fract_y
_atom_site_fract_z
Y1 Y 0.0000 0.0000 0.2387
Ta1 Ta 0.0000 0.0000 0.0000
As1 As 0.0000 0.0000 0.5000
```

Output
- energy of formation (meV/atom) = -117
- total energy (Ha/atom) = -0.27467

Material: La2GaTe2
Method: DFT, PBE
State: optimized geometry

Geometry as CIF:
```
data_La2GaTe2
_chemical_formula_sum 'La4 Ga2 Te4'
_symmetry_space_group_name_H-M 'P 4/m b m'
_symmetry_Int_Tables_number 127
_symmetry_space_group_name_Hall '-P 4 2ab'
_cell_length_a 8.582
_cell_length_b 8.582
_cell_length_c 4.326
_cell_angle_alpha 90.00
_cell_angle_beta 90.00
_cell_angle_gamma 90.00
loop_
_atom_site_label
_atom_site_type_symbol
_atom_site_fract_x
_atom_site_fract_y
_atom_site_fract_z
La1 La 0.160 0.340 0.000
Ga1 Ga 0.000 0.000 0.000
Te1 Te 0.147 0.647 0.500
```

Output
- uncorrected formation energy (eV/atom) = -1.0494
- total energy (Ha/atom) = -0.17942

Material: Fe2TcRh
Method: DFT, PBE
State: optimized geometry

Geometry as CIF:
```
data_Fe2TcRh
_chemical_formula_sum 'Fe6 Tc3 Rh3'
_symmetry_space_group_name_H-M 'R -3 m'
_symmetry_Int_Tables_number 166
_symmetry_space_group_name_Hall '-R 3 2"'
_cell_length_a 2.6754
_cell_length_b 2.6754
_cell_length_c 25.5717
_cell_angle_alpha 90.00
_cell_angle_beta 90.00
_cell_angle_gamma 120.00
loop_
_atom_site_label
_atom_site_type_symbol
_atom_site_fract_x
_atom_site_fract_y
_atom_site_fract_z
Fe1 Fe 0.0000 0.0000 0.2505
Tc1 Tc 0.0000 0.0000 0.0000
Rh1 Rh 0.0000 0.0000 0.5000
```

Output
- energy of formation (meV/atom) = 118
- total energy (Ha/atom) = -0.31395

Material: RbCoCu2Cl8
Method: DFT, PBE
State: optimized geometry

Geometry as CIF:
```
data_RbCoCu2Cl8
_chemical_formula_sum 'Rb1 Co1 Cu2 Cl8'
_symmetry_space_group_name_H-M 'P -1'
_symmetry_Int_Tables_number 2
_symmetry_space_group_name_Hall '-P 1'
_cell_length_a 5.844
_cell_length_b 5.860
_cell_length_c 10.329
_cell_angle_alpha 96.91
_cell_angle_beta 104.98
_cell_angle_gamma 106.61
loop_
_atom_site_label
_atom_site_type_symbol
_atom_site_fract_x
_atom_site_fract_y
_atom_site_fract_z
Rb1 Rb 0.000 0.000 0.000
Co1 Co 0.000 0.500 0.500
Cu1 Cu 0.467 0.202 0.685
Cl1 Cl 0.127 0.657 0.330
Cl2 Cl 0.236 0.256 0.491
Cl3 Cl 0.316 0.785 0.671
Cl4 Cl 0.412 0.705 0.091
```

Output
- uncorrected formation energy (eV/atom) = -0.7087
- total energy (Ha/atom) = -0.12110

Material: Mo2Ru
Method: DFT, PBE
State: optimized geometry

Geometry as CIF:
```
data_Mo2Ru
_chemical_formula_sum 'Mo4 Ru2'
_symmetry_space_group_name_H-M 'I m m m'
_symmetry_Int_Tables_number 71
_symmetry_space_group_name_Hall '-I 2 2'
_cell_length_a 2.779
_cell_length_b 3.901
_cell_length_c 8.472
_cell_angle_alpha 90.00
_cell_angle_beta 90.00
_cell_angle_gamma 90.00
loop_
_atom_site_label
_atom_site_type_symbol
_atom_site_fract_x
_atom_site_fract_y
_atom_site_fract_z
Mo1 Mo 0.000 0.000 0.162
Ru1 Ru 0.000 0.000 0.500
```

Output
- energy of formation (meV/atom) = 174
- total energy (Ha/atom) = -0.37258

Material: BaSbH2
Method: DFT, PBE
State: optimized geometry

Geometry as CIF:
```
data_BaSbH2
_chemical_formula_sum 'Ba2 Sb2 H4'
_symmetry_space_group_name_H-M 'P -1'
_symmetry_Int_Tables_number 2
_symmetry_space_group_name_Hall '-P 1'
_cell_length_a 4.879
_cell_length_b 6.074
_cell_length_c 6.672
_cell_angle_alpha 94.75
_cell_angle_beta 111.08
_cell_angle_gamma 90.63
loop_
_atom_site_label
_atom_site_type_symbol
_atom_site_fract_x
_atom_site_fract_y
_atom_site_fract_z
Ba1 Ba 0.138 0.293 0.280
Sb1 Sb 0.419 0.151 0.828
H1 H 0.315 0.559 0.629
H2 H 0.482 0.642 0.957
```

Output
- total energy (Ha/atom) = -0.12827

Material: CdBiP2
Method: DFT, PBE
State: optimized geometry

Geometry as CIF:
```
data_CdBiP2
_chemical_formula_sum 'Cd4 Bi4 P8'
_symmetry_space_group_name_H-M 'I -4 2 d'
_symmetry_Int_Tables_number 122
_symmetry_space_group_name_Hall 'I -4 2bw'
_cell_length_a 6.123
_cell_length_b 6.123
_cell_length_c 12.499
_cell_angle_alpha 90.00
_cell_angle_beta 90.00
_cell_angle_gamma 90.00
loop_
_atom_site_label
_atom_site_type_symbol
_atom_site_fract_x
_atom_site_fract_y
_atom_site_fract_z
Cd1 Cd 0.000 0.000 0.000
Bi1 Bi 0.000 0.000 0.500
P1 P 0.233 0.250 0.125
```

Output
- energy of formation (meV/atom) = 202
- total energy (Ha/atom) = -0.13603

Material: BaCa2Ru
Method: DFT, PBE
State: optimized geometry

Geometry as CIF:
```
data_BaCa2Ru
_chemical_formula_sum 'Ba2 Ca4 Ru2'
_symmetry_space_group_name_H-M 'I 4/m m m'
_symmetry_Int_Tables_number 139
_symmetry_space_group_name_Hall '-I 4 2'
_cell_length_a 5.117
_cell_length_b 5.117
_cell_length_c 8.800
_cell_angle_alpha 90.00
_cell_angle_beta 90.00
_cell_angle_gamma 90.00
loop_
_atom_site_label
_atom_site_type_symbol
_atom_site_fract_x
_atom_site_fract_y
_atom_site_fract_z
Ba1 Ba 0.000 0.000 0.000
Ca1 Ca 0.000 0.500 0.250
Ru1 Ru 0.000 0.000 0.500
```

Output
- energy of formation (meV/atom) = 432
- total energy (Ha/atom) = -0.12378

Material: Mn2ZnCo3
Method: DFT, PBE
State: optimized geometry

Geometry as CIF:
```
data_Mn2ZnCo3
_chemical_formula_sum 'Mn4 Zn2 Co6'
_symmetry_space_group_name_H-M 'C m m m'
_symmetry_Int_Tables_number 65
_symmetry_space_group_name_Hall '-C 2 2'
_cell_length_a 4.023
_cell_length_b 12.067
_cell_length_c 2.867
_cell_angle_alpha 90.00
_cell_angle_beta 90.00
_cell_angle_gamma 90.00
loop_
_atom_site_label
_atom_site_type_symbol
_atom_site_fract_x
_atom_site_fract_y
_atom_site_fract_z
Mn1 Mn 0.000 0.165 0.000
Zn1 Zn 0.000 0.500 0.000
Co1 Co 0.000 0.000 0.500
Co2 Co 0.000 0.329 0.500
```

Output
- energy of formation (meV/atom) = 9
- total energy (Ha/atom) = -0.25038

Material: CeCuHgPd
Method: DFT, PBE
State: optimized geometry

Geometry as CIF:
```
data_CeCuHgPd
_chemical_formula_sum 'Ce4 Cu4 Hg4 Pd4'
_symmetry_space_group_name_H-M 'F -4 3 m'
_symmetry_Int_Tables_number 216
_symmetry_space_group_name_Hall 'F -4 2 3'
_cell_length_a 6.856
_cell_length_b 6.856
_cell_length_c 6.856
_cell_angle_alpha 90.00
_cell_angle_beta 90.00
_cell_angle_gamma 90.00
loop_
_atom_site_label
_atom_site_type_symbol
_atom_site_fract_x
_atom_site_fract_y
_atom_site_fract_z
Ce1 Ce 0.000 0.000 0.000
Cu1 Cu 0.250 0.250 0.250
Hg1 Hg 0.000 0.000 0.500
Pd1 Pd 0.250 0.250 0.750
```

Output
- energy of formation (meV/atom) = -327
- total energy (Ha/atom) = -0.15466

Material: Y2TeOs
Method: DFT, PBE
State: optimized geometry

Geometry as CIF:
```
data_Y2TeOs
_chemical_formula_sum 'Y4 Te2 Os2'
_symmetry_space_group_name_H-M 'I m m 2'
_symmetry_Int_Tables_number 44
_symmetry_space_group_name_Hall 'I 2 -2'
_cell_length_a 3.549
_cell_length_b 4.682
_cell_length_c 11.557
_cell_angle_alpha 90.00
_cell_angle_beta 90.00
_cell_angle_gamma 90.00
loop_
_atom_site_label
_atom_site_type_symbol
_atom_site_fract_x
_atom_site_fract_y
_atom_site_fract_z
Y1 Y 0.000 0.000 0.000
Y2 Y 0.000 0.500 0.215
Te1 Te 0.000 0.000 0.410
Os1 Os 0.000 0.500 0.713
```

Output
- uncorrected formation energy (eV/atom) = -0.4218
- total energy (Ha/atom) = -0.26631

Material: Tl7SiS6
Method: DFT, PBE
State: optimized geometry

Geometry as CIF:
```
data_Tl7SiS6
_chemical_formula_sum 'Tl28 Si4 S24'
_symmetry_space_group_name_H-M 'I b a m'
_symmetry_Int_Tables_number 72
_symmetry_space_group_name_Hall '-I 2 2c'
_cell_length_a 7.683
_cell_length_b 13.303
_cell_length_c 16.481
_cell_angle_alpha 90.00
_cell_angle_beta 90.00
_cell_angle_gamma 90.00
loop_
_atom_site_label
_atom_site_type_symbol
_atom_site_fract_x
_atom_site_fract_y
_atom_site_fract_z
Tl1 Tl 0.000 0.000 0.250
Tl2 Tl 0.206 0.299 0.120
Tl3 Tl 0.237 0.478 0.500
Si1 Si 0.000 0.500 0.250
S1 S 0.015 0.176 0.000
S2 S 0.162 0.408 0.325
```

Output
- uncorrected formation energy (eV/atom) = -0.3776
- total energy (Ha/atom) = -0.13660